[1]
A plane-wave DFT calculation with PBE was carried out for a relaxed structure of Rb4ZrU3Te8.

Unit cell a=8.8899 b=10.0777 c=8.8903 alpha=116.17 beta=120.00 gamma=90.00
Fractional coordinates of all 16 atoms:
Rb  0.5000  0.0000  0.0000
Rb  0.5000  0.0000  0.5000
Rb  0.0000  0.0000  0.0000
Rb  0.0000  0.0000  0.5000
Zr  0.0000  0.5000  0.0000
U  0.5000  0.5000  0.0000
U  0.5000  0.5000  0.5000
U  0.0000  0.5000  0.5000
Te  0.2273  0.6997  0.9724
Te  0.2273  0.6997  0.4546
Te  0.2647  0.2942  0.5294
Te  0.7451  0.6997  0.9724
Te  0.2549  0.3003  0.0276
Te  0.7353  0.7058  0.4706
Te  0.7727  0.3003  0.5454
Te  0.7727  0.3003  0.0276

Values from the calculation:
total magnetization: 10.02 Bohr magnetons per cell
energy: -5.324 eV per atom
space group: R-3m (166)

=====

[2]
A plane-wave DFT calculation with PBE was carried out for a relaxed structure of La3Tb2Pb6.

Unit cell a=5.9599 b=5.9599 c=12.1867 alpha=104.15 beta=104.15 gamma=90.00
Fractional coordinates of all 11 atoms:
La  0.0000  0.0000  0.0000
La  0.8454  0.8454  0.6909
La  0.1546  0.1546  0.3091
Tb  0.4265  0.4265  0.8530
Tb  0.5735  0.5735  0.1470
Pb  0.0768  0.5768  0.1536
Pb  0.5768  0.0768  0.1536
Pb  0.9232  0.4232  0.8464
Pb  0.4232  0.9232  0.8464
Pb  0.7044  0.7044  0.4089
Pb  0.2956  0.2956  0.5911

Values from the calculation:
total magnetization: 0.00 Bohr magnetons per cell
energy: -4.409 eV per atom
formation enthalpy at 0 K: -200 meV per atom
space group: I4/mmm (139)

=====

[3]
A plane-wave DFT calculation with PBE was carried out for a relaxed structure of HIrRh2Au.

Unit cell a=3.9846 b=3.9846 c=3.9780 alpha=90.00 beta=90.00 gamma=90.00
Fractional coordinates of all 5 atoms:
Rh  0.0000  0.5000  0.0000
Rh  0.5000  0.0000  0.0000
Ir  0.0000  0.0000  0.5000
Au  0.5000  0.5000  0.5000
H  0.0000  0.0000  0.0000

Values from the calculation:
total magnetization: 0.00 Bohr magnetons per cell
energy: -5.830 eV per atom
space group: P4/mmm (123)

=====

[4]
A plane-wave DFT calculation with PBE was carried out for a relaxed structure of Pm5NdHo2.

Unit cell a=5.1135 b=7.2441 c=14.4881 alpha=90.00 beta=90.00 gamma=90.00
Fractional coordinates of all 16 atoms:
Pm  0.0000  0.0000  0.0000
Pm  0.0000  0.5000  0.5000
Pm  0.0000  0.4992  0.7497
Pm  0.0000  0.5008  0.2503
Pm  0.0000  0.0008  0.2497
Pm  0.0000  0.9992  0.7503
Pm  0.5000  0.2492  0.8747
Pm  0.5000  0.7508  0.1253
Pm  0.5000  0.2508  0.3747
Pm  0.5000  0.7492  0.6253
Nd  0.0000  0.0000  0.5000
Nd  0.0000  0.5000  0.0000
Ho  0.5000  0.2496  0.6251
Ho  0.5000  0.7504  0.3749
Ho  0.5000  0.2504  0.1251
Ho  0.5000  0.7496  0.8749

Values from the calculation:
total magnetization: 0.00 Bohr magnetons per cell
energy: -4.696 eV per atom
formation enthalpy at 0 K: 14 meV per atom
space group: Pbam (55)

=====

[5]
A plane-wave DFT calculation with PBE was carried out for a relaxed structure of BeAlInN2.

Unit cell a=4.2119 b=4.9732 c=4.2119 alpha=90.00 beta=90.00 gamma=90.00
Fractional coordinates of all 5 atoms:
Be  0.0000  0.5000  0.0000
N  0.0000  0.0000  0.5000
N  0.5000  0.0000  0.0000
Al  0.5000  0.5000  0.5000
In  0.0000  0.0000  0.0000

Values from the calculation:
total magnetization: 2.06 Bohr magnetons per cell
energy: -3.529 eV per atom
space group: P4/mmm (123)

=====

[6]
A plane-wave DFT calculation with PBE was carried out for a relaxed structure of NdSm2YEr.

Unit cell a=7.2614 b=8.4439 c=7.1818 alpha=126.01 beta=90.00 gamma=90.00
Fractional coordinates of all 10 atoms:
Nd  0.2500  0.7240  0.4480
Nd  0.7500  0.2760  0.5520
Sm  0.5000  0.3095  0.0000
Sm  0.0000  0.6905  0.0000
Sm  0.5000  0.6905  0.0000
Sm  0.0000  0.3095  0.0000
Y  0.2500  0.9919  0.9839
Y  0.7500  0.0081  0.0161
Er  0.7500  0.7293  0.4586
Er  0.2500  0.2707  0.5414

Values from the calculation:
total magnetization: 0.00 Bohr magnetons per cell
energy: -4.643 eV per atom
formation enthalpy at 0 K: 404 meV per atom
space group: Cmcm (63)

=====

[7]
A plane-wave DFT calculation with PBE was carried out for a relaxed structure of Ca2CoAg.

Unit cell a=5.0577 b=5.0577 c=5.0577 alpha=60.00 beta=60.00 gamma=60.00
Fractional coordinates of all 4 atoms:
Ca  0.2500  0.2500  0.2500
Ca  0.7500  0.7500  0.7500
Co  0.0000  0.0000  0.0000
Ag  0.5000  0.5000  0.5000

Values from the calculation:
total magnetization: 0.61 Bohr magnetons per cell
energy: -3.378 eV per atom
formation enthalpy at 0 K: 112 meV per atom
space group: Fm-3m (225)

=====

[8]
A plane-wave DFT calculation with PBE was carried out for a relaxed structure of Li6AcTl6.

Unit cell a=5.9814 b=7.6704 c=7.6704 alpha=80.79 beta=67.05 gamma=67.05
Fractional coordinates of all 13 atoms:
Li  0.0000  0.5000  0.0000
Li  0.5000  0.5000  0.0000
Li  0.0000  0.0000  0.5000
Li  0.5000  0.0000  0.5000
Li  0.5000  0.7620  0.2380
Li  0.5000  0.2380  0.7620
Ac  0.0000  0.0000  0.0000
Tl  0.3453  0.6547  0.6547
Tl  0.6547  0.3453  0.3453
Tl  0.0000  0.3441  0.6559
Tl  0.0000  0.6559  0.3441
Tl  0.3107  0.1893  0.1893
Tl  0.6893  0.8107  0.8107

Values from the calculation:
total magnetization: 0.00 Bohr magnetons per cell
energy: -2.537 eV per atom
formation enthalpy at 0 K: -245 meV per atom
space group: Immm (71)